Compound: SrEuInCu
Source: the Alexandria database
Functional: PBE-GGA
Structure: relaxed

a b c (Å): 5.499 5.499 5.499
angles (deg): 60.00 60.00 60.00
Each line ends with the local moment (μB).
Atoms (fractional coordinates):
Sr  0.500  0.500  0.500  0.01
In  0.750  0.750  0.750  0.05
Eu  0.000  0.000  0.000  6.85
Cu  0.250  0.250  0.250  0.01

Summary:
As for the space-group type: F-43m, No. 216. The theoretical density is 5.90 Mg/m³. For the total energy, the calculation gives -4.87 eV per atom. The value obtained for the energy of formation is -0.17 eV/atom. Its density of states at the Fermi level is 8.6 states/eV/f.u.